First-principles (GGA-PBEsol) data for a relaxed structure of VNi3P4O16, as listed in the Alexandria database.

Unit cell a=4.6874 b=5.6388 c=9.6532 alpha=90.00 beta=91.00 gamma=90.00
With the nearest neighbours (Å) after each atom.
Space group Pm (No. 6)
Unique sites:
V: 0.0000 0.0000 0.0000  6 O 1.80-1.97
Ni: 0.4071 0.0000 0.5052  6 O 1.92-2.10
Ni: 0.5077 0.5000 0.0452  4 O 1.92-2.05
Ni: 0.9131 0.5000 0.5463  6 O 1.85-2.06
P: 0.0372 0.5000 0.8591  4 O 1.51-1.60
P: 0.3577 0.5000 0.3706  4 O 1.52-1.58
P: 0.5826 0.0000 0.1837  4 O 1.48-1.59
P: 0.8657 0.0000 0.6766  4 O 1.50-1.60
O: 0.1376 0.5000 0.7107  1 P 1.52
O: 0.1843 0.2859 0.9432  1 P 1.60
O: 0.1856 0.0000 0.6710  1 P 1.50
O: 0.2008 0.2886 0.4445  1 P 1.58
O: 0.2642 0.0000 0.1422  1 P 1.54
O: 0.2997 0.5000 0.2147  1 P 1.52
O: 0.6335 0.0000 0.3358  1 P 1.48
O: 0.6847 0.5000 0.3884  1 P 1.54
O: 0.7058 0.2147 0.6096  1 P 1.56
O: 0.7185 0.5000 0.8759  1 P 1.51
O: 0.7376 0.2063 0.1022  1 P 1.59
O: 0.8030 0.0000 0.8388  1 P 1.60

Computed properties:
* total DFT energy (no corrections): -176.75 eV for the cell shown
* crystal system: monoclinic
* magnetization: 3.0 μB per formula unit
* formation energy (no corrections): -1729 meV/atom

=====

First-principles (GGA-PBEsol) data for a relaxed structure of Sr3AgPd, as listed in the Alexandria database.

Unit cell a=5.7411 b=5.7411 c=5.7411 alpha=90.00 beta=90.00 gamma=90.00
With the nearest neighbours (Å) after each atom.
Space group Pm-3m (No. 221)
Unique sites:
Sr: 0.0000 0.0000 0.5000  2 Pd 2.87
Ag: 0.5000 0.5000 0.5000  12 Sr 4.06
Pd: 0.0000 0.0000 0.0000  6 Sr 2.87

Computed properties:
* total DFT energy (no corrections): -15.40 eV for the cell shown
* crystal system: cubic
* DFT formation energy: -0.123 eV/atom
* magnetization: 0.0 μB per formula unit

=====

First-principles (GGA-PBEsol) data for a relaxed structure of SrZr2Ni, as listed in the Alexandria database.

Unit cell a=5.5341 b=10.3610 c=3.0240 alpha=90.00 beta=90.00 gamma=90.00
With the nearest neighbours (Å) after each atom.
Space group Cmmm (No. 65)
Unique sites:
Sr: 0.0000 0.0000 0.0000  2 Ni 2.77, 2 Sr 3.02
Zr: 0.2500 0.2500 0.5000  4 Zr 2.77-3.02
Ni: 0.0000 0.5000 0.0000  2 Sr 2.77, 2 Ni 3.02

Computed properties:
* energy above the lowest structure with this stoichiometry: 461.1 meV per atom
* total DFT energy (no corrections): -47.16 eV for the cell shown
* crystal system: orthorhombic
* DFT formation energy: 0.649 eV/atom
* magnetization: 0.0 μB per formula unit

=====

First-principles (GGA-PBEsol) data for a relaxed structure of YTaBe2Cd, as listed in the Alexandria database.

Unit cell a=4.4911 b=4.4911 c=5.0769 alpha=90.00 beta=90.00 gamma=90.00
With the nearest neighbours (Å) after each atom.
Space group P4/mmm (No. 123)
Unique sites:
Y: 0.0000 0.0000 0.0000  4 Be 2.25
Ta: 0.5000 0.5000 0.5000  4 Cd 3.18, 8 Be 3.39
Be: 0.0000 0.5000 0.0000  2 Y 2.25
Cd: 0.0000 0.0000 0.5000  2 Y 2.54

Computed properties:
* total DFT energy (no corrections): -18.06 eV for the cell shown
* crystal system: tetragonal
* DFT formation energy: 2.103 eV/atom
* magnetization: 0.8 μB per formula unit

=====

First-principles (GGA-PBEsol) data for a relaxed structure of ZrTe2Ru, as listed in the Alexandria database.

Unit cell a=3.5221 b=3.9368 c=12.8392 alpha=90.00 beta=90.00 gamma=90.00
With the nearest neighbours (Å) after each atom.
Space group Amm2 (No. 38)
Unique sites:
Zr: 0.0000 0.0000 0.0000  6 Te 2.86-2.98, 2 Ru 2.91
Te: 0.0000 0.0000 0.3383  4 Ru 2.65, 2 Zr 2.86
Te: 0.5000 0.0000 0.6074  1 Ru 2.73, 4 Zr 2.98
Ru: 0.5000 0.0000 0.8197  5 Te 2.65-2.73, 2 Zr 2.91

Computed properties:
* total DFT energy (no corrections): -56.15 eV for the cell shown
* crystal system: orthorhombic
* magnetization: 0.0 μB per formula unit
* formation energy (no corrections): -441 meV/atom

=====

First-principles (GGA-PBEsol) data for a relaxed structure of SrScSi2Pt, as listed in the Alexandria database.

Unit cell a=4.8462 b=4.8462 c=5.5996 alpha=90.00 beta=90.00 gamma=90.00
With the nearest neighbours (Å) after each atom.
Space group P4/mmm (No. 123)
Unique sites:
Sr: 0.0000 0.0000 0.0000  2 Sc 2.80
Sc: 0.0000 0.0000 0.5000  4 Si 2.42
Si: 0.0000 0.5000 0.5000  2 Sc 2.42
Pt: 0.5000 0.5000 0.0000  4 Sr 3.43, 8 Si 3.70

Computed properties:
* total DFT energy (no corrections): -21.85 eV for the cell shown
* crystal system: tetragonal
* magnetization: 0.0 μB per formula unit
* formation energy (no corrections): 1011 meV/atom

=====

First-principles (GGA-PBEsol) data for a relaxed structure of SbTe2PbS, as listed in the Alexandria database.

Unit cell a=5.6722 b=5.6722 c=5.7676 alpha=90.00 beta=90.00 gamma=90.00
With the nearest neighbours (Å) after each atom.
Space group P4/mmm (No. 123)
Unique sites:
Sb: 0.0000 0.0000 0.0000  2 Pb 2.88
Te: 0.0000 0.5000 0.5000  2 Pb 2.84
Pb: 0.0000 0.0000 0.5000  4 Te 2.84, 2 Sb 2.88
S: 0.5000 0.5000 0.0000  4 Sb 4.01, 8 Te 4.04

Computed properties:
* total DFT energy (no corrections): -14.26 eV for the cell shown
* crystal system: tetragonal
* magnetization: 1.1 μB per formula unit
* formation energy (no corrections): 1146 meV/atom

=====

First-principles (GGA-PBEsol) data for a relaxed structure of Rb2HfGeTe, as listed in the Alexandria database.

Unit cell a=6.9072 b=6.9072 c=4.9114 alpha=90.00 beta=90.00 gamma=90.00
With the nearest neighbours (Å) after each atom.
Space group P4/mmm (No. 123)
Unique sites:
Rb: 0.0000 0.5000 0.0000  2 Hf 3.45
Hf: 0.0000 0.0000 0.0000  2 Ge 2.46
Ge: 0.0000 0.0000 0.5000  2 Hf 2.46
Te: 0.5000 0.5000 0.5000  8 Rb 4.24

Computed properties:
* total DFT energy (no corrections): -17.29 eV for the cell shown
* crystal system: tetragonal
* magnetization: 0.8 μB per formula unit
* formation energy (no corrections): 745 meV/atom

=====

First-principles (GGA-PBEsol) data for a relaxed structure of KLi2Tc, as listed in the Alexandria database.

Unit cell a=2.6027 b=4.3346 c=7.9347 alpha=90.00 beta=90.00 gamma=90.00
With the nearest neighbours (Å) after each atom.
Space group Pmm2 (No. 25)
Unique sites:
K: 0.0000 0.0000 0.0000  2 K 2.60
Li: 0.0000 0.0000 0.5765  2 Li 2.60, 4 Tc 2.73
Li: 0.5000 0.5000 0.3867  1 Tc 2.53, 2 Li 2.60
Tc: 0.5000 0.5000 0.7049  5 Li 2.53-2.73, 2 Tc 2.60

Computed properties:
* energy above the lowest structure with this stoichiometry: 0.0 meV per atom
* total DFT energy (no corrections): -13.11 eV for the cell shown
* crystal system: orthorhombic
* DFT formation energy: 0.807 eV/atom
* magnetization: 1.0 μB per formula unit

=====

First-principles (GGA-PBEsol) data for a relaxed structure of Al2InSe, as listed in the Alexandria database.

Unit cell a=4.0676 b=4.0676 c=10.0032 alpha=90.00 beta=90.00 gamma=90.00
With the nearest neighbours (Å) after each atom.
Space group I-4m2 (No. 119)
Unique sites:
Al: 0.0000 0.0000 0.0000  4 In 2.88
Al: 0.0000 0.5000 0.2500  4 Se 2.88
In: 0.0000 0.0000 0.5000  4 Al 2.88
Se: 0.0000 0.5000 0.7500  4 Al 2.88

Computed properties:
* energy above the lowest structure with this stoichiometry: 83.7 meV per atom
* total DFT energy (no corrections): -29.54 eV for the cell shown
* crystal system: tetragonal
* magnetization: 0.0 μB per formula unit
* formation energy (no corrections): 62 meV/atom

=====

First-principles (GGA-PBEsol) data for a relaxed structure of Li2Mg3, as listed in the Alexandria database.

Unit cell a=3.0947 b=3.0947 c=37.8278 alpha=90.00 beta=90.00 gamma=120.00
With the nearest neighbours (Å) after each atom.
Space group R-3m (No. 166, hexagonal axes)
Unique sites:
Li: 0.0000 0.0000 0.1008  6 Mg 3.07, 6 Li 3.09
Mg: 0.0000 0.0000 0.2984  3 Li 3.07, 9 Mg 3.09-3.19
Mg: 0.0000 0.0000 0.5000  6 Li 3.07, 6 Mg 3.09

Computed properties:
* total DFT energy (no corrections): -27.70 eV for the cell shown
* crystal system: trigonal
* DFT formation energy: -0.030 eV/atom
* magnetization: 0.0 μB per formula unit

=====

First-principles (GGA-PBEsol) data for a relaxed structure of Mn2Zn3Si4O14, as listed in the Alexandria database.

Unit cell a=16.4170 b=7.6761 c=9.8334 alpha=90.00 beta=122.86 gamma=90.00
With the nearest neighbours (Å) after each atom.
Space group C2/c (No. 15)
Unique sites:
Mn: 0.0000 0.0000 0.0000  4 O 1.87-1.91
Mn: 0.0000 0.2076 0.2500  4 O 1.88-1.98
Zn: 0.0000 0.3995 0.7500  4 O 2.01-2.03
Zn: 0.1632 0.1139 0.8913  4 O 1.98-2.09
Si: 0.1189 0.3628 0.6022  4 O 1.63-1.66
Si: 0.1832 0.2759 0.2025  4 O 1.62-1.63
O: 0.0489 0.4014 0.4085  1 Si 1.63
O: 0.0667 0.2413 0.6744  1 Si 1.66
O: 0.0739 0.0410 0.4108  2 Mn 1.87-1.88, 1 Zn 1.98
O: 0.1032 0.1306 0.1746  1 Si 1.63
O: 0.1492 0.4685 0.2235  2 Si 1.63-1.64
O: 0.2038 0.2990 0.0597  1 Si 1.62
O: 0.2169 0.2757 0.6284  2 Si 1.63

Computed properties:
* total DFT energy (no corrections): -677.57 eV for the cell shown
* crystal system: monoclinic
* magnetization: 8.0 μB per formula unit
* formation energy (no corrections): -2115 meV/atom